(1)
Computed, not measured: Ca3Pm3PuSe8 after structural relaxation at the PBE level of DFT.

Unit cell a=8.419 b=8.419 c=8.419 alpha=59.60 beta=59.60 gamma=59.60
Element x y z (fractional)
1 Ca 0.000 0.500 0.500
2 Ca 0.500 0.000 0.500
3 Ca 0.500 0.500 0.000
4 Pm 0.000 0.000 0.500
5 Pm 0.000 0.500 0.000
6 Pm 0.500 0.000 0.000
7 Pu 0.500 0.500 0.500
8 Se 0.250 0.749 0.749
9 Se 0.251 0.251 0.251
10 Se 0.251 0.251 0.750
11 Se 0.251 0.750 0.251
12 Se 0.749 0.250 0.749
13 Se 0.749 0.749 0.250
14 Se 0.749 0.749 0.749
15 Se 0.750 0.251 0.251

Results
Space-group type: R-3m (166)

***

(2)
Computed, not measured: CaPm3Pu2Se6 after structural relaxation at the PBE level of DFT.

Unit cell a=7.233 b=7.233 c=7.266 alpha=99.56 beta=99.56 gamma=120.01
Element x y z (fractional)
1 Ca 0.000 0.000 0.000
2 Pm 0.166 0.834 0.500
3 Pm 0.500 0.500 0.500
4 Pm 0.834 0.166 0.500
5 Pu 0.333 0.667 0.000
6 Pu 0.667 0.333 0.000
7 Se 0.082 0.415 0.246
8 Se 0.251 0.251 0.755
9 Se 0.415 0.082 0.246
10 Se 0.585 0.918 0.754
11 Se 0.749 0.749 0.245
12 Se 0.918 0.585 0.754

Results
Space-group type: C2/m (12)

***

(3)
Computed, not measured: Ca3Pm2PuSe6 after structural relaxation at the PBE level of DFT.

Unit cell a=9.412 b=9.412 c=8.436 alpha=103.71 beta=103.71 gamma=25.61
Element x y z (fractional)
1 Ca 0.000 0.000 0.000
2 Ca 0.333 0.333 0.666
3 Ca 0.667 0.667 0.334
4 Pm 0.334 0.334 0.167
5 Pm 0.666 0.666 0.833
6 Pu 0.000 0.000 0.500
7 Se 0.166 0.166 0.086
8 Se 0.167 0.167 0.582
9 Se 0.499 0.499 0.750
10 Se 0.501 0.501 0.250
11 Se 0.833 0.833 0.418
12 Se 0.834 0.834 0.914

Results
Space-group type: C2/m (12)

***

(4)
Computed, not measured: CaPm2Pu3Te6 after structural relaxation at the PBE level of DFT.

Unit cell a=9.981 b=9.981 c=8.945 alpha=103.09 beta=103.09 gamma=25.72
Element x y z (fractional)
1 Ca 0.000 0.000 0.000
2 Pm 0.332 0.332 0.662
3 Pm 0.668 0.668 0.338
4 Pu 0.000 0.000 0.500
5 Pu 0.333 0.333 0.166
6 Pu 0.667 0.667 0.834
7 Te 0.165 0.165 0.587
8 Te 0.167 0.167 0.083
9 Te 0.500 0.500 0.250
10 Te 0.500 0.500 0.750
11 Te 0.833 0.833 0.917
12 Te 0.835 0.835 0.413

Results
Space-group type: C2/m (12)

***

(5)
Computed, not measured: CaPm2PuTe4 after structural relaxation at the PBE level of DFT.

Unit cell a=7.737 b=4.447 c=7.769 alpha=90.00 beta=109.29 gamma=90.00
Element x y z (fractional)
1 Ca 0.000 0.000 0.000
2 Pm 0.000 0.500 0.500
3 Pm 0.500 0.000 0.500
4 Pu 0.500 0.500 0.000
5 Te 0.248 0.500 0.247
6 Te 0.251 0.000 0.753
7 Te 0.749 0.000 0.247
8 Te 0.752 0.500 0.753

Results
Space-group type: P2/m (10)

***

(6)
Computed, not measured: Ca3PmPu2Te6 after structural relaxation at the PBE level of DFT.

Unit cell a=7.738 b=7.738 c=7.830 alpha=99.48 beta=99.48 gamma=119.99
Element x y z (fractional)
1 Ca 0.000 0.000 0.000
2 Ca 0.334 0.666 0.000
3 Ca 0.666 0.334 0.000
4 Pm 0.500 0.500 0.500
5 Pu 0.167 0.833 0.500
6 Pu 0.833 0.167 0.500
7 Te 0.082 0.416 0.249
8 Te 0.249 0.249 0.751
9 Te 0.416 0.082 0.249
10 Te 0.584 0.918 0.751
11 Te 0.751 0.751 0.249
12 Te 0.918 0.584 0.751

Results
Space-group type: C2/m (12)

***

Listing ΔE_f (raw) for the structures above in their given order: -1854, -1760, -1847, -1287, -1382, -1387 meV per atom.
Listing final energy for the structures above in their given order: -90.3, -86.9, -72.9, -88.8, -49.5, -74.9 eV per cell.
Listing spin magnetization for the structures above in their given order: 5.64, 11.77, 6.05, 17.73, 6.03, 12.29 μB/f.u..